{"formula": "La2Y4Sb3N2", "functional": "PBE", "state": "optimized geometry", "lattice_angstrom": [[-2.356, 2.356, 12.870], [2.356, -2.356, 12.870], [2.356, 2.356, -12.870]], "species": ["La", "La", "Y", "Y", "Y", "Y", "Sb", "Sb", "Sb", "N", "N"], "fractional_positions": [[0.192, 0.192, 0.000], [0.808, 0.808, 0.000], [0.081, 0.581, 0.500], [0.419, 0.919, 0.500], [0.581, 0.081, 0.500], [0.919, 0.419, 0.500], [0.326, 0.326, 0.000], [0.500, 0.500, 0.000], [0.674, 0.674, 0.000], [0.098, 0.098, 0.000], [0.902, 0.902, 0.000]], "space_group": "No. 139", "e_form_raw_mev_per_atom": -1255.1}